[1]
Density functional theory data (GGA-PBE) for a geometry-optimized ZrFeSi2 structure.

a = 4.371 Å, b = 4.371 Å, c = 4.371 Å
α = 60.00°, β = 60.00°, γ = 60.00°
Fractional positions:
Zr 0.000 0.000 0.000
Fe 0.250 0.250 0.250
Si 0.500 0.500 0.500
Si 0.750 0.750 0.750

Calculated values
The total energy is -6.993 eV/atom.

[2]
Density functional theory data (GGA-PBE) for a geometry-optimized Zr6Fe16Si7 structure.

a = 8.084 Å, b = 8.084 Å, c = 8.084 Å
α = 60.00°, β = 60.00°, γ = 60.00°
Fractional positions:
Zr 0.206 0.206 0.794
Zr 0.206 0.794 0.206
Zr 0.206 0.794 0.794
Zr 0.794 0.206 0.206
Zr 0.794 0.206 0.794
Zr 0.794 0.794 0.206
Fe 0.135 0.622 0.622
Fe 0.176 0.176 0.176
Fe 0.176 0.176 0.471
Fe 0.176 0.471 0.176
Fe 0.378 0.378 0.378
Fe 0.378 0.378 0.865
Fe 0.378 0.865 0.378
Fe 0.471 0.176 0.176
Fe 0.529 0.824 0.824
Fe 0.622 0.135 0.622
Fe 0.622 0.622 0.135
Fe 0.622 0.622 0.622
Fe 0.824 0.529 0.824
Fe 0.824 0.824 0.529
Fe 0.824 0.824 0.824
Fe 0.865 0.378 0.378
Si 0.000 0.000 0.500
Si 0.000 0.500 0.000
Si 0.000 0.500 0.500
Si 0.500 0.000 0.000
Si 0.500 0.000 0.500
Si 0.500 0.500 0.000
Si 0.500 0.500 0.500

Calculated values
The total energy is -8.211 eV/atom.

[3]
Density functional theory data (GGA-PBE) for a geometry-optimized Zr4Fe4Si7 structure.

a = 9.568 Å, b = 9.568 Å, c = 9.568 Å
α = 93.98°, β = 93.98°, γ = 149.46°
Fractional positions:
Zr 0.000 0.196 0.196
Zr 0.000 0.804 0.804
Zr 0.196 0.000 0.196
Zr 0.362 0.362 0.724
Zr 0.362 0.638 0.000
Zr 0.638 0.362 0.000
Zr 0.638 0.638 0.276
Zr 0.804 0.000 0.804
Fe 0.102 0.602 0.204
Fe 0.102 0.898 0.500
Fe 0.398 0.602 0.500
Fe 0.398 0.898 0.796
Fe 0.602 0.102 0.204
Fe 0.602 0.398 0.500
Fe 0.898 0.102 0.500
Fe 0.898 0.398 0.796
Si 0.000 0.409 0.409
Si 0.000 0.591 0.591
Si 0.200 0.500 0.700
Si 0.211 0.211 0.421
Si 0.211 0.789 0.000
Si 0.250 0.250 0.000
Si 0.409 0.000 0.409
Si 0.500 0.200 0.700
Si 0.500 0.800 0.300
Si 0.591 0.000 0.591
Si 0.750 0.750 0.000
Si 0.789 0.211 0.000
Si 0.789 0.789 0.579
Si 0.800 0.500 0.300

Calculated values
The total energy is -7.777 eV/atom.

[4]
Density functional theory data (GGA-PBE) for a geometry-optimized Zr3Fe2Si3 structure.

a = 5.383 Å, b = 5.383 Å, c = 12.967 Å
α = 90.00°, β = 90.00°, γ = 138.08°
Fractional positions:
Zr 0.077 0.923 0.614
Zr 0.077 0.923 0.886
Zr 0.364 0.636 0.750
Zr 0.636 0.364 0.250
Zr 0.923 0.077 0.114
Zr 0.923 0.077 0.386
Fe 0.221 0.779 0.081
Fe 0.221 0.779 0.419
Fe 0.779 0.221 0.581
Fe 0.779 0.221 0.919
Si 0.333 0.667 0.250
Si 0.387 0.613 0.542
Si 0.387 0.613 0.958
Si 0.613 0.387 0.042
Si 0.613 0.387 0.458
Si 0.667 0.333 0.750

Calculated values
The total energy is -8.107 eV/atom.

[5]
Density functional theory data (GGA-PBE) for a geometry-optimized ZrFeSi2 structure.

a = 9.761 Å, b = 9.761 Å, c = 14.142 Å
α = 90.00°, β = 90.00°, γ = 149.45°
Fractional positions:
Zr 0.036 0.964 0.825
Zr 0.123 0.877 0.083
Zr 0.202 0.798 0.317
Zr 0.298 0.702 0.817
Zr 0.377 0.623 0.583
Zr 0.464 0.536 0.325
Zr 0.536 0.464 0.675
Zr 0.623 0.377 0.417
Zr 0.702 0.298 0.183
Zr 0.798 0.202 0.683
Zr 0.877 0.123 0.917
Zr 0.964 0.036 0.175
Fe 0.000 0.500 0.000
Fe 0.000 0.500 0.500
Fe 0.041 0.959 0.377
Fe 0.087 0.413 0.250
Fe 0.413 0.087 0.750
Fe 0.459 0.541 0.877
Fe 0.500 0.000 0.000
Fe 0.500 0.000 0.500
Fe 0.541 0.459 0.123
Fe 0.587 0.913 0.250
Fe 0.913 0.587 0.750
Fe 0.959 0.041 0.623
Si 0.089 0.911 0.644
Si 0.142 0.858 0.493
Si 0.167 0.333 0.750
Si 0.170 0.830 0.899
Si 0.235 0.765 0.642
Si 0.244 0.244 0.000
Si 0.256 0.256 0.500
Si 0.265 0.735 0.142
Si 0.330 0.670 0.399
Si 0.333 0.167 0.250
Si 0.358 0.642 0.993
Si 0.411 0.589 0.144
Si 0.589 0.411 0.856
Si 0.642 0.358 0.007
Si 0.667 0.833 0.750
Si 0.670 0.330 0.601
Si 0.735 0.265 0.858
Si 0.744 0.744 0.500
Si 0.756 0.756 0.000
Si 0.765 0.235 0.358
Si 0.830 0.170 0.101
Si 0.833 0.667 0.250
Si 0.858 0.142 0.507
Si 0.911 0.089 0.356

Calculated values
The total energy is -7.634 eV/atom.

[6]
Density functional theory data (GGA-PBE) for a geometry-optimized Sm2Fe17 structure.

a = 6.398 Å, b = 6.398 Å, c = 6.398 Å
α = 82.95°, β = 82.95°, γ = 82.95°
Fractional positions:
Sm 0.159 0.159 0.159
Sm 0.841 0.841 0.841
Fe 0.000 0.500 0.500
Fe 0.157 0.157 0.656
Fe 0.157 0.656 0.157
Fe 0.208 0.500 0.792
Fe 0.208 0.792 0.500
Fe 0.344 0.843 0.843
Fe 0.404 0.404 0.404
Fe 0.500 0.000 0.500
Fe 0.500 0.208 0.792
Fe 0.500 0.500 0.000
Fe 0.500 0.792 0.208
Fe 0.596 0.596 0.596
Fe 0.656 0.157 0.157
Fe 0.792 0.208 0.500
Fe 0.792 0.500 0.208
Fe 0.843 0.344 0.843
Fe 0.843 0.843 0.344

Calculated values
Its formation energy is 21 meV per atom.

[7]
Density functional theory data (GGA-PBE) for a geometry-optimized SmFe structure.

a = 3.437 Å, b = 3.437 Å, c = 4.230 Å
α = 90.00°, β = 90.00°, γ = 120.00°
Fractional positions:
Sm 0.000 0.000 0.000
Fe 0.333 0.667 0.500

Calculated values
Its formation energy is 591 meV per atom.

[8]
Density functional theory data (GGA-PBE) for a geometry-optimized SmFe3 structure.

a = 5.087 Å, b = 5.087 Å, c = 5.087 Å
α = 135.63°, β = 135.63°, γ = 64.55°
Fractional positions:
Sm 0.000 0.000 0.000
Fe 0.250 0.750 0.500
Fe 0.500 0.500 0.000
Fe 0.750 0.250 0.500

Calculated values
Its formation energy is 413 meV per atom.

[9]
Density functional theory data (GGA-PBE) for a geometry-optimized Sm3Fe structure.

a = 5.898 Å, b = 5.898 Å, c = 5.898 Å
α = 133.34°, β = 133.34°, γ = 68.12°
Fractional positions:
Sm 0.000 0.000 0.000
Sm 0.250 0.750 0.500
Sm 0.750 0.250 0.500
Fe 0.500 0.500 0.000

Calculated values
Its formation energy is 360 meV per atom.

[10]
Density functional theory data (GGA-PBE) for a geometry-optimized Sm2Fe17 structure.

a = 8.464 Å, b = 8.464 Å, c = 8.227 Å
α = 90.00°, β = 90.00°, γ = 120.00°
Fractional positions:
Sm 0.000 0.000 0.250
Sm 0.000 0.000 0.750
Sm 0.333 0.667 0.250
Sm 0.667 0.333 0.750
Fe 0.000 0.500 0.000
Fe 0.000 0.500 0.500
Fe 0.043 0.372 0.750
Fe 0.043 0.671 0.750
Fe 0.166 0.332 0.015
Fe 0.166 0.332 0.485
Fe 0.166 0.834 0.015
Fe 0.166 0.834 0.485
Fe 0.329 0.372 0.750
Fe 0.329 0.957 0.750
Fe 0.332 0.166 0.515
Fe 0.332 0.166 0.985
Fe 0.333 0.667 0.607
Fe 0.333 0.667 0.893
Fe 0.372 0.043 0.250
Fe 0.372 0.329 0.250
Fe 0.500 0.000 0.000
Fe 0.500 0.000 0.500
Fe 0.500 0.500 0.000
Fe 0.500 0.500 0.500
Fe 0.628 0.671 0.750
Fe 0.628 0.957 0.750
Fe 0.667 0.333 0.107
Fe 0.667 0.333 0.393
Fe 0.668 0.834 0.015
Fe 0.668 0.834 0.485
Fe 0.671 0.043 0.250
Fe 0.671 0.628 0.250
Fe 0.834 0.166 0.515
Fe 0.834 0.166 0.985
Fe 0.834 0.668 0.515
Fe 0.834 0.668 0.985
Fe 0.957 0.329 0.250
Fe 0.957 0.628 0.250

Calculated values
Its formation energy is 21 meV per atom.

[11]
Density functional theory data (GGA-PBE) for a geometry-optimized Sm3Fe structure.

a = 4.776 Å, b = 4.776 Å, c = 4.776 Å
α = 90.00°, β = 90.00°, γ = 90.00°
Fractional positions:
Sm 0.000 0.000 0.500
Sm 0.000 0.500 0.000
Sm 0.500 0.000 0.000
Fe 0.500 0.500 0.500

Calculated values
Its formation energy is 349 meV per atom.

[12]
Density functional theory data (GGA-PBE) for a geometry-optimized SmFe structure.

a = 4.038 Å, b = 4.038 Å, c = 4.038 Å
α = 60.00°, β = 60.00°, γ = 60.00°
Fractional positions:
Sm 0.000 0.000 0.000
Fe 0.500 0.500 0.500

Calculated values
Its formation energy is 597 meV per atom.